i) 6
Lattice="-1.121 0.235 -3.244 0.484 -3.381 -0.412 -11.159 -2.048 3.707" Properties=species:S:1:pos:R:3 comment="DyTm3Cu2 | Alexandria via LeMat-Bulk | PBE | optimized geometry" magnetic_moment_mub_per_fu=0.00 n_ef_per_ev_cell=5.757 spacegroup="No. 123" pbc="T T T"
Dy -5.898 -2.597 0.026
Tm -3.169 -0.582 1.053
Tm 0.000 0.000 0.000
Tm -7.990 -1.467 2.654
Cu -9.879 -3.328 1.348
Cu -1.917 -1.867 -1.297

ii) 12
Lattice="6.716 0.000 0.000 0.000 7.068 0.000 -3.358 -3.534 6.640" Properties=species:S:1:pos:R:3 comment="DyTm3Cu2 | Alexandria via LeMat-Bulk | PBE | optimized geometry" magnetic_moment_mub_per_fu=0.00 n_ef_per_ev_cell=13.371 spacegroup="No. 72" pbc="T T T"
Cu 4.753 0.000 1.888
Tm 0.000 5.301 3.117
Cu 1.962 3.534 1.888
Cu -1.396 3.534 4.752
Tm 3.358 1.767 3.523
Tm 3.358 5.301 0.000
Dy 0.000 0.000 0.000
Cu 1.396 0.000 4.752
Dy 0.000 3.534 0.000
Tm 3.358 1.767 0.000
Tm 0.000 1.767 3.117
Tm 3.358 -1.767 3.523

Best to worst by energy: i), ii).

i) 8
Lattice="4.977 0.003 0.000 -2.485 5.843 0.000 0.000 0.000 7.462" Properties=species:S:1:pos:R:3 comment="DyY2Cu | Alexandria via LeMat-Bulk | PBE | optimized geometry" magnetic_moment_mub_per_fu=0.00 n_ef_per_ev_cell=10.801 spacegroup="No. 11" pbc="T T T"
Dy 2.491 5.342 1.866
Dy 0.000 0.504 5.597
Y 2.489 1.734 3.516
Y 0.003 4.111 7.247
Cu -0.005 2.294 1.866
Cu 2.496 3.551 5.597
Y 2.489 1.734 0.215
Y 0.003 4.111 3.947

ii) 4
Lattice="-3.005 -1.551 -1.442 0.158 -3.422 -1.334 -3.313 -5.151 7.759" Properties=species:S:1:pos:R:3 comment="DyY2Cu | Alexandria via LeMat-Bulk | PBE | optimized geometry" magnetic_moment_mub_per_fu=0.51 n_ef_per_ev_cell=5.071 spacegroup="No. 160" pbc="T T T"
Dy -3.074 -5.054 2.471
Y -2.837 -4.449 6.012
Cu -1.902 -3.322 -1.835
Y -1.426 -2.362 0.826

Best to worst by energy: i), ii).

i) 12
Lattice="-5.188 -0.082 -4.390 2.350 -6.233 -2.661 -2.315 -0.161 7.999" Properties=species:S:1:pos:R:3 comment="Dy3YCu2 | Alexandria via LeMat-Bulk | PBE | optimized geometry" magnetic_moment_mub_per_fu=0.00 n_ef_per_ev_cell=14.648 spacegroup="No. 72" pbc="T T T"
Dy 0.011 -6.232 0.103
Cu -3.749 -2.393 2.293
Dy -2.006 -1.599 -2.860
Dy -5.163 -0.244 0.845
Dy -0.831 -4.716 -4.191
Cu -1.403 -4.082 -1.346
Y 0.000 0.000 0.000
Dy -3.988 -3.360 -0.486
Dy -1.165 -3.115 1.434
Cu -4.729 -1.000 -1.835
Cu -0.423 -5.476 2.783
Y 1.175 -3.116 -1.331

ii) 12
Lattice="-4.622 1.006 -1.297 -2.121 -1.495 6.395 1.157 8.314 2.327" Properties=species:S:1:pos:R:3 comment="Dy3YCu2 | Alexandria via LeMat-Bulk | PBE | optimized geometry" magnetic_moment_mub_per_fu=0.00 n_ef_per_ev_cell=12.582 spacegroup="No. 26" pbc="T T T"
Cu -2.900 6.455 6.066
Dy -1.649 7.240 2.217
Cu -1.205 1.774 5.667
Dy -1.046 4.262 7.031
Y -1.849 4.016 0.431
Dy -0.371 2.237 3.057
Cu 0.203 5.018 3.168
Dy -2.001 -0.836 6.480
Cu -2.648 1.397 1.244
Dy -3.487 0.902 3.850
Dy 0.039 6.951 5.253
Y -2.736 4.514 3.977

Best to worst by energy: ii), i).

i) 6
Lattice="-2.040 0.829 4.785 -2.564 -3.877 2.478 2.154 -2.307 4.217" Properties=species:S:1:pos:R:3 comment="DyYCu4 | Alexandria via LeMat-Bulk | PBE | optimized geometry" magnetic_moment_mub_per_fu=0.00 n_ef_per_ev_cell=3.084 spacegroup="No. 216" pbc="T T T"
Cu -2.609 -2.193 5.066
Dy 0.000 0.000 0.000
Cu -0.250 -1.408 5.936
Cu -1.532 -3.347 7.175
Y -0.613 -1.339 2.870
Cu -0.511 -3.761 4.782

ii) 6
Lattice="3.944 0.000 1.690 1.842 5.008 1.149 -0.005 0.009 5.458" Properties=species:S:1:pos:R:3 comment="DyYCu4 | Alexandria via LeMat-Bulk | PBE | optimized geometry" magnetic_moment_mub_per_fu=0.00 n_ef_per_ev_cell=2.953 spacegroup="No. 44" pbc="T T T"
Cu 0.708 0.172 3.795
Cu 4.880 4.320 4.952
Y 1.879 0.222 1.063
Dy 2.983 2.289 3.933
Cu 4.151 2.348 6.653
Cu 1.823 3.191 1.192

Best to worst by energy: ii), i).

i) 12
Lattice="-3.495 2.386 -2.664 0.346 0.180 -4.985 -5.178 -5.778 -3.075" Properties=species:S:1:pos:R:3 comment="DyZn2Cu9 | Alexandria via LeMat-Bulk | PBE | optimized geometry" magnetic_moment_mub_per_fu=0.00 n_ef_per_ev_cell=6.102 spacegroup="No. 166" pbc="T T T"
Cu -2.459 -0.351 -6.473
Cu -5.692 -2.770 -6.785
Zn -4.957 -0.340 -7.879
Cu -4.411 0.771 -5.293
Cu -2.635 -0.442 -3.939
Cu -6.221 -4.913 -5.624
Cu -5.868 -2.861 -4.251
Dy 0.000 0.000 0.000
Cu -4.163 -1.606 -5.362
Zn -3.370 -2.873 -2.845
Cu -2.105 1.700 -5.100
Cu -3.915 -3.983 -5.430

ii) 24
Lattice="5.979 0.000 2.753 2.990 7.134 1.376 0.006 0.000 7.857" Properties=species:S:1:pos:R:3 comment="DyZn2Cu9 | Alexandria via LeMat-Bulk | PBE | optimized geometry" magnetic_moment_mub_per_fu=0.00 n_ef_per_ev_cell=9.301 spacegroup="No. 141" pbc="T T T"
Cu 3.822 0.608 4.348
Cu 4.551 2.352 2.764
Cu 6.902 5.919 7.774
Cu 4.554 1.215 6.693
Zn 5.984 1.783 8.645
Cu 5.063 5.919 5.588
Cu 1.431 1.215 3.917
Dy 2.993 3.567 5.305
Cu 2.161 2.959 2.332
Zn 7.475 5.350 5.405
Cu 6.173 4.175 9.358
Cu 3.180 6.526 4.053
Cu 3.909 4.782 2.469
Cu 2.805 6.526 6.556
Cu 5.792 4.175 4.004
Zn 4.489 5.350 7.957
Cu 1.434 2.352 7.845
Cu 3.825 2.959 8.277
Zn 5.981 1.783 4.717
Cu 0.000 0.000 0.000
Cu 2.164 0.608 6.261
Cu 2.076 4.782 8.140
Dy 2.990 0.000 1.376
Cu 5.982 3.567 6.681

Best to worst by energy: ii), i).

i) 7
Lattice="4.702 0.000 1.469 2.121 4.196 1.469 -0.051 -0.031 8.421" Properties=species:S:1:pos:R:3 comment="Dy4ZnCu2 | Alexandria via LeMat-Bulk | PBE | optimized geometry" magnetic_moment_mub_per_fu=0.00 n_ef_per_ev_cell=6.762 spacegroup="No. 166" pbc="T T T"
Dy 2.543 1.564 8.378
Dy 5.932 3.648 5.790
Cu 5.059 3.111 8.584
Zn 0.000 0.000 0.000
Dy 4.229 2.601 2.981
Dy 0.840 0.517 5.569
Cu 1.713 1.054 2.776

ii) 14
Lattice="7.256 -0.551 1.295 -1.095 8.484 -0.303 -1.907 -4.418 5.244" Properties=species:S:1:pos:R:3 comment="Dy4ZnCu2 | Alexandria via LeMat-Bulk | PBE | optimized geometry" magnetic_moment_mub_per_fu=0.00 n_ef_per_ev_cell=13.433 spacegroup="No. 1" pbc="T T T"
Zn -0.402 3.434 3.345
Dy 5.642 3.717 1.852
Cu -1.382 0.779 4.337
Cu 3.810 6.006 1.922
Cu 3.527 1.300 2.290
Dy -1.027 -1.960 3.476
Dy 6.048 0.307 2.785
Zn 1.592 0.913 0.528
Dy 2.089 3.612 1.548
Dy 1.289 0.923 3.948
Dy 3.988 2.387 5.080
Dy 2.628 -3.180 4.826
Dy 1.208 6.932 1.332
Cu 3.807 -0.613 4.157

Best to worst by energy: i), ii).